No. 1
## VFeH2 (PBE)

Data for VFeH2 after structural relaxation.

Summary:
Its total energy is -6.0810 eV per atom. The value obtained for the size of the total moment is 0.00 μB per formula unit.

Lattice parameters (Å, degrees): 4.8726 5.4823 4.4225 90.00 90.00 90.00
Sites, in units of the cell vectors:
V (0.1084, 0.1172, 0.0000)
V (0.3916, 0.6172, 0.5000)
V (0.6084, 0.3828, 0.0000)
V (0.8916, 0.8828, 0.5000)
Fe (0.0814, 0.6253, 0.9907)
Fe (0.4186, 0.1253, 0.4907)
Fe (0.5814, 0.8747, 0.9907)
Fe (0.9186, 0.3747, 0.4907)
H (0.0558, 0.6210, 0.3530)
H (0.0966, 0.1332, 0.4002)
H (0.4034, 0.6332, 0.9002)
H (0.4442, 0.1210, 0.8530)
H (0.5558, 0.8790, 0.3530)
H (0.5966, 0.3668, 0.4002)
H (0.9034, 0.8668, 0.9002)
H (0.9442, 0.3790, 0.8530)


No. 2
## CePmLuHg (PBE)

Data for CePmLuHg after structural relaxation.

Summary:
Its formation energy is 0.002 eV per atom. Its total energy is -3.8744 eV per atom. The value obtained for the size of the total moment is 1.93 μB per formula unit.

Lattice parameters (Å, degrees): 7.6518 7.6518 7.6518 90.00 90.00 90.00
Sites, in units of the cell vectors:
Ce (0.0000, 0.0000, 0.0000)
Ce (0.0000, 0.5000, 0.5000)
Ce (0.5000, 0.0000, 0.5000)
Ce (0.5000, 0.5000, 0.0000)
Pm (0.2500, 0.2500, 0.7500)
Pm (0.2500, 0.7500, 0.2500)
Pm (0.7500, 0.2500, 0.2500)
Pm (0.7500, 0.7500, 0.7500)
Lu (0.0000, 0.0000, 0.5000)
Lu (0.0000, 0.5000, 0.0000)
Lu (0.5000, 0.0000, 0.0000)
Lu (0.5000, 0.5000, 0.5000)
Hg (0.2500, 0.2500, 0.2500)
Hg (0.2500, 0.7500, 0.7500)
Hg (0.7500, 0.2500, 0.7500)
Hg (0.7500, 0.7500, 0.2500)


No. 3
## HgBr2 (PBE)

Data for HgBr2 after structural relaxation.

Summary:
The value obtained for the uncorrected formation energy is -4.00 kJ/mol of atoms. Its total energy is -1.2573 eV per atom. The value obtained for the size of the total moment is 0.00 μB per formula unit.

Lattice parameters (Å, degrees): 4.9146 4.9146 3.7231 90.00 90.00 90.00
Sites, in units of the cell vectors:
Hg (0.0000, 0.0000, 0.0000)
Br (0.0000, 0.5000, 0.5000)
Br (0.5000, 0.0000, 0.5000)


No. 4
## InTeAs2 (PBE)

Data for InTeAs2 after structural relaxation.

Summary:
The value obtained for the uncorrected formation energy is 20.68 kJ/mol of atoms. Its total energy is -3.5804 eV per atom. The value obtained for the size of the total moment is 0.00 μB per formula unit.

Lattice parameters (Å, degrees): 3.0868 5.0460 6.5139 90.00 91.41 90.00
Sites, in units of the cell vectors:
In (0.0000, 0.0000, 0.0000)
Te (0.5000, 0.0000, 0.5000)
As (0.4848, 0.5000, 0.8019)
As (0.5152, 0.5000, 0.1981)


No. 5
## Pm2B4Ru3 (PBE)

Data for Pm2B4Ru3 after structural relaxation.

Summary:
Its formation energy is 0.045 eV per atom. Its total energy is -7.0701 eV per atom. The value obtained for the size of the total moment is 0.00 μB per formula unit.

Lattice parameters (Å, degrees): 7.0756 5.9731 5.5014 76.02 55.00 48.98
Sites, in units of the cell vectors:
Pm (0.1563, 0.1563, 0.8437)
Pm (0.8437, 0.8437, 0.1563)
B (0.1956, 0.5440, 0.4560)
B (0.4560, 0.8044, 0.1956)
B (0.5440, 0.1956, 0.8044)
B (0.8044, 0.4560, 0.5440)
Ru (0.0000, 0.0000, 0.5000)
Ru (0.5000, 0.5000, 0.0000)
Ru (0.5000, 0.5000, 0.5000)


No. 6
## CsCoCl3 (PBE)

Data for CsCoCl3 after structural relaxation.

Summary:
The value obtained for the uncorrected formation energy is -112.90 kJ/mol of atoms. Its total energy is -3.8700 eV per atom. The value obtained for the size of the total moment is 3.00 μB per formula unit.

Lattice parameters (Å, degrees): 8.7674 7.3178 13.0742 90.00 110.82 90.00
Sites, in units of the cell vectors:
Cs (0.1703, 0.2006, 0.1507)
Cs (0.1703, 0.2994, 0.6507)
Cs (0.8297, 0.7006, 0.3493)
Cs (0.8297, 0.7994, 0.8493)
Co (0.3230, 0.5924, 0.9625)
Co (0.3230, 0.9076, 0.4625)
Co (0.6770, 0.0924, 0.5375)
Co (0.6770, 0.4076, 0.0375)
Cl (0.1005, 0.0804, 0.3906)
Cl (0.1005, 0.4196, 0.8906)
Cl (0.2565, 0.6184, 0.4684)
Cl (0.2565, 0.8816, 0.9684)
Cl (0.4974, 0.0266, 0.6276)
Cl (0.4974, 0.4734, 0.1276)
Cl (0.5026, 0.5266, 0.8724)
Cl (0.5026, 0.9734, 0.3724)
Cl (0.7435, 0.1184, 0.0316)
Cl (0.7435, 0.3816, 0.5316)
Cl (0.8995, 0.5804, 0.1094)
Cl (0.8995, 0.9196, 0.6094)